[1]
The following is a PBE calculation of Li4Ca2Ac3In2 after structural relaxation, from Alexandria.

Properties
calculated volume	360.1	Å³/f.u.
D(E_F)	10.56	states/eV per cell
crystal system	trigonal
formation enthalpy at 0 K	-0.07	eV per atom

Geometry as CIF:
```
data_Li4Ca2Ac3In2
_cell_length_a 5.2161
_cell_length_b 5.2161
_cell_length_c 15.2810
_cell_angle_alpha 90.00
_cell_angle_beta 90.00
_cell_angle_gamma 120.00
_space_group_name_H-M_alt 'P -3 m 1'
_space_group_IT_number 164
_space_group_name_Hall '-P 3 2"'
loop_
_atom_site_label
_atom_site_type_symbol
_atom_site_fract_x
_atom_site_fract_y
_atom_site_fract_z
_atom_site_occupancy
Li1 Li 0.3333 0.6667 0.3362 1
Li2 Li 0.3333 0.6667 0.8739 1
Ca1 Ca 0.3333 0.6667 0.5719 1
Ac1 Ac 0.0000 0.0000 0.0000 1
Ac2 Ac 0.0000 0.0000 0.2463 1
In1 In 0.3333 0.6667 0.1346 1
```

=====

[2]
The following is a PBE calculation of LiCaAcIn2 after structural relaxation, from Alexandria.

Properties
calculated volume	144.8	Å³/f.u.
D(E_F)	6.05	states/eV per cell
crystal system	orthorhombic
formation enthalpy at 0 K	-0.27	eV per atom

Geometry as CIF:
```
data_LiCaAcIn2
_cell_length_a 6.1310
_cell_length_b 7.0358
_cell_length_c 6.7143
_cell_angle_alpha 90.00
_cell_angle_beta 90.00
_cell_angle_gamma 90.00
_space_group_name_H-M_alt 'P m m a'
_space_group_IT_number 51
_space_group_name_Hall '-P 2a 2a'
loop_
_atom_site_label
_atom_site_type_symbol
_atom_site_fract_x
_atom_site_fract_y
_atom_site_fract_z
_atom_site_occupancy
Li1 Li 0.0000 0.0000 0.0000 1
Ca1 Ca 0.2500 0.0000 0.3959 1
Ac1 Ac 0.2500 0.5000 0.2643 1
In1 In 0.2500 0.2689 0.7796 1
```

=====

[3]
The following is a PBE calculation of LiCaAcIn after structural relaxation, from Alexandria.

Properties
calculated volume	126.5	Å³/f.u.
D(E_F)	13.43	states/eV per cell
crystal system	cubic
formation enthalpy at 0 K	-0.27	eV per atom

Geometry as CIF:
```
data_LiCaAcIn
_cell_length_a 7.9688
_cell_length_b 7.9688
_cell_length_c 7.9688
_cell_angle_alpha 90.00
_cell_angle_beta 90.00
_cell_angle_gamma 90.00
_space_group_name_H-M_alt 'F -4 3 m'
_space_group_IT_number 216
_space_group_name_Hall 'F -4 2 3'
loop_
_atom_site_label
_atom_site_type_symbol
_atom_site_fract_x
_atom_site_fract_y
_atom_site_fract_z
_atom_site_occupancy
Li1 Li 0.0000 0.0000 0.0000 1
Ca1 Ca 0.2500 0.2500 0.2500 1
Ac1 Ac 0.2500 0.2500 0.7500 1
In1 In 0.0000 0.0000 0.5000 1
```